LiAg3Pb | Alexandria via LeMat-Bulk | GGA-PBE | relaxed; ΔE to the lowest computed polymorph = 0.5173 eV per atom; symmetry = Pm-3m
1.0
5.3660 0.0000 0.0000
0.0000 5.3660 0.0000
0.0000 0.0000 5.3660
Li Ag Pb
1 3 1
Direct
0.0000 0.0000 0.0000
0.0000 0.5000 0.5000
0.5000 0.0000 0.5000
0.5000 0.5000 0.0000
0.5000 0.5000 0.5000

Li4Ag7Pb | Alexandria via LeMat-Bulk | GGA-PBE | relaxed; ΔE to the lowest computed polymorph = 0.1254 eV per atom; symmetry = C2/m
1.0
5.3661 -2.6222 0.0000
5.3661 2.6222 0.0000
-5.2742 0.0000 8.4829
Li Ag Pb
4 7 1
Direct
0.0929 0.0929 0.2679
0.2316 0.2316 0.8162
0.7684 0.7684 0.1838
0.9071 0.9071 0.7321
0.0000 0.0000 0.5000
0.1520 0.1520 0.0333
0.2873 0.2873 0.5857
0.4539 0.4539 0.1151
0.5461 0.5461 0.8849
0.7127 0.7127 0.4143
0.8480 0.8480 0.9667
0.5000 0.5000 0.5000

Li12Ag5Pb2 | Alexandria via LeMat-Bulk | GGA-PBE | relaxed; symmetry = C2/m
1.0
7.6331 -2.9936 0.0000
7.6331 2.9936 0.0000
-2.3776 0.0000 8.5919
Li Ag Pb
12 5 2
Direct
0.0094 0.0094 0.3436
0.0631 0.5374 0.8873
0.0789 0.5885 0.4223
0.3933 0.3933 0.1895
0.4115 0.9211 0.5777
0.4626 0.9369 0.1127
0.5374 0.0631 0.8873
0.5885 0.0789 0.4223
0.6067 0.6067 0.8105
0.9211 0.4115 0.5777
0.9369 0.4626 0.1127
0.9906 0.9906 0.6564
0.1476 0.1476 0.8534
0.1795 0.1795 0.3315
0.5000 0.5000 0.5000
0.8205 0.8205 0.6685
0.8524 0.8524 0.1466
0.2488 0.7512 0.0000
0.7512 0.2488 0.0000

LiAgPb2 | Alexandria via LeMat-Bulk | GGA-PBE | relaxed; symmetry = P4/mmm
1.0
4.8596 0.0000 0.0000
0.0000 4.8596 0.0000
0.0000 0.0000 4.0042
Li Ag Pb
1 1 2
Direct
0.0000 0.0000 0.0000
0.5000 0.5000 0.0000
0.0000 0.5000 0.5000
0.5000 0.0000 0.5000

Li2Ag7Pb | Alexandria via LeMat-Bulk | GGA-PBE | relaxed; symmetry = Cmmm
1.0
3.7322 -6.5197 0.0000
3.7322 6.5197 0.0000
0.0000 0.0000 4.5682
Li Ag Pb
2 7 1
Direct
0.1982 0.8018 0.0000
0.8018 0.1982 0.0000
0.0000 0.0000 0.0000
0.1883 0.4339 0.0000
0.2776 0.7224 0.5000
0.4339 0.1883 0.0000
0.5661 0.8117 0.0000
0.7224 0.2776 0.5000
0.8117 0.5661 0.0000
0.5000 0.5000 0.5000

Li8Ag5Pb | Alexandria via LeMat-Bulk | GGA-PBE | relaxed; symmetry = I-4
1.0
-3.9080 3.9080 4.0828
3.9080 -3.9080 4.0828
3.9080 3.9080 -4.0828
Li Ag Pb
8 5 1
Direct
0.0818 0.3474 0.6027
0.1385 0.4003 0.0666
0.3337 0.0719 0.9334
0.5209 0.9182 0.2656
0.5997 0.6663 0.7382
0.6526 0.2553 0.7344
0.7447 0.4791 0.3973
0.9281 0.8615 0.2618
0.0388 0.7056 0.9174
0.2944 0.2118 0.3332
0.5000 0.5000 0.0000
0.7882 0.1213 0.0826
0.8787 0.9612 0.6668
0.2500 0.7500 0.5000

LiAgPb2 | Alexandria via LeMat-Bulk | GGA-PBE | relaxed; symmetry = R-3m
1.0
1.6910 0.9763 9.6020
-1.6910 0.9763 9.6020
0.0000 -1.9526 9.6020
Li Ag Pb
1 1 2
Direct
0.0000 0.0000 0.0000
0.5000 0.5000 0.5000
0.2505 0.2505 0.2505
0.7495 0.7495 0.7495

Li4AgPb2 | Alexandria via LeMat-Bulk | GGA-PBE | relaxed; ΔE to the lowest computed polymorph = 0.0000 eV per atom; symmetry = P2_1/m
1.0
5.2080 0.0000 0.0000
0.0000 6.3106 0.0000
-0.9003 0.0000 8.6155
Li Ag Pb
8 2 4
Direct
0.1219 0.2500 0.1196
0.3411 0.7500 0.4149
0.3608 0.5415 0.7142
0.3608 0.9585 0.7142
0.6392 0.0415 0.2858
0.6392 0.4585 0.2858
0.6589 0.2500 0.5851
0.8781 0.7500 0.8804
0.0430 0.2500 0.8025
0.9570 0.7500 0.1975
0.1293 0.2500 0.4494
0.4091 0.7500 0.0317
0.5909 0.2500 0.9683
0.8707 0.7500 0.5506

Calculated raw total energy (eV per atom), listed in the same order as above: -2.3863 -2.6030 -2.4003 -3.1336 -2.5000 -2.4996 -3.0927 -2.7650